Record 1
This record from the Alexandria database describes a crystal of AlPdPbS2 relaxed with PBEsol. The functional is SCAN.

The structure in POSCAR format:
```
AlPdPbS2
1.0
4.8835 0.0000 0.0000
0.0000 4.8835 0.0000
0.0000 0.0000 4.5782
Al Pd Pb S
1 1 1 2
Cartesian
0.0000 0.0000 0.0000
0.0000 0.0000 2.2891
2.4417 2.4417 0.0000
0.0000 2.4417 2.2891
2.4417 0.0000 2.2891
```

Properties
energy: -27.05 eV per atom
crystal system: tetragonal
D(E_F): 1.7 states/eV/f.u.
M_tot: 0.00 Bohr magnetons per cell
formation energy from raw total energies: 0.063 eV per atom


Record 2
This record from the Alexandria database describes a crystal of BeTc2P relaxed with PBEsol. The functional is SCAN.

The structure in POSCAR format:
```
BeTc2P
1.0
3.8122 0.0000 0.0000
0.0000 1.4745 4.1475
0.0000 -1.4745 4.1475
Be Tc P
1 2 1
Cartesian
0.0000 0.0000 0.0000
0.0000 0.0000 2.2848
1.9061 0.0000 4.5928
1.9061 0.0000 6.9113
```

Properties
formation energy from the elements: -0.49 eV/atom
energy: -21.71 eV per atom
offset from the most stable computed form: 0.000 eV per atom
crystal system: orthorhombic
D(E_F): 1.6 states/eV/f.u.
M_tot: 0.00 Bohr magnetons per cell


Record 3
This record from the Alexandria database describes a crystal of Ca3Tc relaxed with PBEsol. The functional is SCAN.

The structure in POSCAR format:
```
Ca3Tc
1.0
-1.6919 2.8048 6.0297
1.6919 -2.8048 6.0297
1.6919 2.8048 -6.0297
Ca Tc
3 1
Cartesian
0.0000 0.0000 0.0000
1.6919 0.0000 3.7460
0.0000 2.8048 2.2837
0.0000 0.0000 6.0297
```

Properties
formation energy from the elements: 0.55 eV/atom
energy: -15.46 eV per atom
crystal system: orthorhombic
D(E_F): 3.2 states/eV/f.u.
M_tot: 1.36 Bohr magnetons per cell


Record 4
This record from the Alexandria database describes a crystal of Cu2HI relaxed with PBEsol. The functional is SCAN.

The structure in POSCAR format:
```
Cu2HI
1.0
0.0000 3.0908 3.0908
3.0908 0.0000 3.0908
3.0908 3.0908 0.0000
Cu H I
2 1 1
Cartesian
1.5454 1.5454 1.5454
4.6362 4.6362 4.6362
0.0000 0.0000 0.0000
3.0908 3.0908 3.0908
```

Properties
energy: -16.76 eV per atom
crystal system: cubic
D(E_F): 0.9 states/eV/f.u.
M_tot: 0.00 Bohr magnetons per cell


Record 5
This record from the Alexandria database describes a crystal of ZrFe2Ni relaxed with PBEsol. The functional is SCAN.

The structure in POSCAR format:
```
ZrFe2Ni
1.0
3.0587 0.0000 0.0000
0.0000 3.0587 0.0000
0.0000 0.0000 5.7026
Zr Fe Ni
1 2 1
Cartesian
0.0000 0.0000 0.0000
0.0000 0.0000 2.8274
1.5293 1.5293 1.5983
1.5293 1.5293 4.1271
```

Properties
formation energy from the elements: -0.10 eV/atom
energy: -20.88 eV per atom
crystal system: tetragonal
D(E_F): 2.5 states/eV/f.u.
M_tot: 4.96 Bohr magnetons per cell


Record 6
This record from the Alexandria database describes a crystal of GaGe2H5CNO6 relaxed with PBEsol. The functional is SCAN.

The structure in POSCAR format:
```
GaGe2H5CNO6
1.0
7.1344 0.0000 0.0000
-2.5622 7.1911 0.0000
-1.4193 -3.7073 6.5411
Ga Ge H C N O
2 4 10 2 2 12
Cartesian
-0.5445 1.3714 1.5960
3.6973 2.1124 4.9451
-1.1238 3.9272 3.4360
-0.7458 6.2892 1.2554
3.8986 -2.8054 5.2857
4.2766 -0.4434 3.1051
-0.1805 0.3750 4.0864
-0.6681 0.0728 6.4140
0.2796 -1.3240 5.7942
0.7611 1.5133 5.0161
1.5152 0.2098 4.3754
1.6377 3.2740 2.1657
2.3917 1.9705 1.5249
2.8733 4.8078 0.7469
3.8210 3.4110 0.1270
3.3334 3.1088 2.4547
0.3192 -0.2488 6.0358
2.8337 3.7326 0.5052
0.5964 0.5006 4.8018
2.5565 2.9832 1.7392
-1.2945 0.2939 2.8873
-2.3764 1.6529 6.3470
-1.4105 5.5095 2.7053
1.1133 0.6949 1.1503
-0.0572 2.9421 2.4625
-0.4143 4.2129 5.0322
3.5672 -0.7291 1.5089
3.2100 0.5417 4.0786
2.0396 2.7889 5.3907
4.5633 -2.0257 3.8358
5.5292 1.8309 0.1941
4.4473 3.1900 3.6537
```

Properties
energy: -9.22 eV per atom
crystal system: triclinic
D(E_F): 0.0 states/eV/f.u.
M_tot: 0.00 Bohr magnetons per cell


Record 7
This record from the Alexandria database describes a crystal of CsZr2Al relaxed with PBEsol. The functional is SCAN.

The structure in POSCAR format:
```
CsZr2Al
1.0
-2.3669 2.3669 10.3670
2.3669 -2.3669 10.3670
2.3669 2.3669 -10.3670
Cs Zr Al
2 4 2
Cartesian
0.0000 0.0000 0.0000
0.0000 2.3669 5.1835
1.1835 1.7072 -2.5918
3.0267 1.1835 2.5918
1.1835 0.6597 7.7753
-0.6597 1.1835 12.9588
2.3669 0.0000 5.1835
0.0000 0.0000 10.3670
```

Properties
formation energy from the elements: 1.13 eV/atom
energy: -25.61 eV per atom
crystal system: tetragonal
D(E_F): 3.4 states/eV/f.u.
M_tot: 0.00 Bohr magnetons per cell


Record 8
This record from the Alexandria database describes a crystal of TiCrSbI2 relaxed with PBEsol. The functional is SCAN.

The structure in POSCAR format:
```
TiCrSbI2
1.0
5.3095 0.0000 0.0000
0.0000 5.3095 0.0000
0.0000 0.0000 5.4235
Ti Cr Sb I
1 1 1 2
Cartesian
0.0000 0.0000 0.0000
2.6548 2.6548 2.7118
0.0000 0.0000 2.7118
0.0000 2.6548 0.0000
2.6548 0.0000 0.0000
```

Properties
energy: -28.74 eV per atom
crystal system: tetragonal
D(E_F): 2.9 states/eV/f.u.
M_tot: 5.31 Bohr magnetons per cell
formation energy from raw total energies: 0.295 eV per atom


Record 9
This record from the Alexandria database describes a crystal of CrFeCo2 relaxed with PBEsol. The functional is SCAN.

The structure in POSCAR format:
```
CrFeCo2
1.0
-1.7279 1.7279 3.4876
1.7279 -1.7279 3.4876
1.7279 1.7279 -3.4876
Cr Fe Co
1 1 2
Cartesian
0.0000 0.0000 0.0000
0.0000 1.7279 1.7438
1.7279 0.0000 1.7438
0.0000 0.0000 3.4876
```

Properties
formation energy from the elements: 0.06 eV/atom
energy: -17.72 eV per atom
crystal system: tetragonal
D(E_F): 3.0 states/eV/f.u.
M_tot: 2.44 Bohr magnetons per cell


Record 10
This record from the Alexandria database describes a crystal of NbTeS2 relaxed with PBEsol. The functional is SCAN.

The structure in POSCAR format:
```
NbTeS2
1.0
-3.2500 3.2500 4.8277
3.2500 -3.2500 4.8277
3.2500 3.2500 -4.8277
Nb Te S
2 2 4
Cartesian
0.0000 0.0000 0.0000
0.0000 3.2500 2.4138
3.2500 0.0000 2.4138
0.0000 0.0000 4.8277
4.8749 1.1396 -1.2069
1.1396 1.6250 1.2069
-1.6250 2.1104 3.6208
2.1104 1.6250 6.0346
```

Properties
energy: -22.48 eV per atom
crystal system: tetragonal
D(E_F): 4.1 states/eV/f.u.
M_tot: 0.00 Bohr magnetons per cell
formation energy from raw total energies: -0.071 eV per atom


Record 11
This record from the Alexandria database describes a crystal of Ni2TeSe2 relaxed with PBEsol. The functional is SCAN.

The structure in POSCAR format:
```
Ni2TeSe2
1.0
-1.9985 1.9985 5.3237
1.9985 -1.9985 5.3237
1.9985 1.9985 -5.3237
Ni Te Se
2 1 2
Cartesian
0.0000 0.0000 1.2656
0.0000 0.0000 9.3819
0.0000 0.0000 5.3237
1.9985 0.0000 2.6619
0.0000 1.9985 2.6619
```

Properties
energy: -21.70 eV per atom
offset from the most stable computed form: 0.286 eV per atom
crystal system: tetragonal
D(E_F): 3.1 states/eV/f.u.
M_tot: 0.00 Bohr magnetons per cell
formation energy from raw total energies: 0.255 eV per atom


Record 12
This record from the Alexandria database describes a crystal of AgTe2Ru relaxed with PBEsol. The functional is SCAN.

The structure in POSCAR format:
```
AgTe2Ru
1.0
3.2160 0.0000 0.0000
0.0000 3.6962 0.0000
0.0000 0.0000 7.1561
Ag Te Ru
1 2 1
Cartesian
0.0000 0.0000 0.0000
0.0000 0.0000 2.7768
1.6080 1.8481 5.7755
1.6080 1.8481 1.5356
```

Properties
energy: -34.99 eV per atom
offset from the most stable computed form: 0.015 eV per atom
crystal system: orthorhombic
D(E_F): 2.2 states/eV/f.u.
M_tot: 0.00 Bohr magnetons per cell
formation energy from raw total energies: 0.181 eV per atom


Record 13
This record from the Alexandria database describes a crystal of RbCaPS2 relaxed with PBEsol. The functional is SCAN.

The structure in POSCAR format:
```
RbCaPS2
1.0
5.2794 0.0000 0.0000
0.0000 5.2794 0.0000
0.0000 0.0000 5.3118
Rb Ca P S
1 1 1 2
Cartesian
0.0000 0.0000 0.0000
2.6397 2.6397 2.6559
2.6397 2.6397 0.0000
0.0000 2.6397 2.6559
2.6397 0.0000 2.6559
```

Properties
energy: -12.34 eV per atom
crystal system: tetragonal
D(E_F): 3.5 states/eV/f.u.
M_tot: 3.57 Bohr magnetons per cell
formation energy from raw total energies: -0.328 eV per atom


Record 14
This record from the Alexandria database describes a crystal of LaCdAg2 relaxed with PBEsol. The functional is SCAN.

The structure in POSCAR format:
```
LaCdAg2
1.0
0.0000 3.5464 3.5464
3.5464 0.0000 3.5464
3.5464 3.5464 0.0000
La Cd Ag
1 1 2
Cartesian
0.0000 0.0000 0.0000
1.7732 1.7732 1.7732
3.5464 3.5464 3.5464
5.3196 5.3196 5.3196
```

Properties
formation energy from the elements: -0.21 eV/atom
energy: -34.27 eV per atom
crystal system: cubic
D(E_F): 3.8 states/eV/f.u.
M_tot: 0.00 Bohr magnetons per cell


Record 15
This record from the Alexandria database describes a crystal of FeCuPt2 relaxed with PBEsol. The functional is SCAN.

The structure in POSCAR format:
```
FeCuPt2
1.0
2.7365 -3.5909 0.0000
2.7365 3.5909 0.0000
0.0000 0.0000 2.7232
Fe Cu Pt
1 1 2
Cartesian
0.0000 0.0000 0.0000
2.7365 0.0000 0.0000
1.3683 1.7954 1.3616
1.3683 -1.7954 1.3616
```

Properties
formation energy from the elements: -0.30 eV/atom
energy: -43.73 eV per atom
crystal system: orthorhombic
D(E_F): 2.6 states/eV/f.u.
M_tot: 3.92 Bohr magnetons per cell


Record 16
This record from the Alexandria database describes a crystal of NaZrN3 relaxed with PBEsol. The functional is SCAN.

The structure in POSCAR format:
```
NaZrN3
1.0
3.8369 0.0000 0.0000
0.0000 3.8369 0.0000
0.0000 0.0000 3.8369
Na Zr N
1 1 3
Cartesian
0.0000 0.0000 0.0000
1.9185 1.9185 1.9185
0.0000 0.0000 1.9185
0.0000 1.9185 0.0000
1.9185 0.0000 0.0000
```

Properties
energy: -11.16 eV per atom
crystal system: cubic
D(E_F): 1.7 states/eV/f.u.
M_tot: 3.98 Bohr magnetons per cell
formation energy from raw total energies: 1.398 eV per atom


Record 17
This record from the Alexandria database describes a crystal of ZnRuCl2 relaxed with PBEsol. The functional is SCAN.

The structure in POSCAR format:
```
ZnRuCl2
1.0
4.4608 0.0000 0.0000
0.0000 4.4608 0.0000
0.0000 0.0000 3.0194
Zn Ru Cl
1 1 2
Cartesian
0.0000 0.0000 0.0000
2.2304 2.2304 0.0000
0.0000 2.2304 1.5097
2.2304 0.0000 1.5097
```

Properties
energy: -15.48 eV per atom
offset from the most stable computed form: 0.839 eV per atom
crystal system: tetragonal
D(E_F): 2.7 states/eV/f.u.
M_tot: 0.00 Bohr magnetons per cell
formation energy from raw total energies: 0.598 eV per atom


Record 18
This record from the Alexandria database describes a crystal of Ta2FeMo relaxed with PBEsol. The functional is SCAN.

The structure in POSCAR format:
```
Ta2FeMo
1.0
0.0000 3.1083 3.1083
3.1083 0.0000 3.1083
3.1083 3.1083 0.0000
Ta Fe Mo
2 1 1
Cartesian
1.5542 1.5542 1.5542
4.6625 4.6625 4.6625
0.0000 0.0000 0.0000
3.1083 3.1083 3.1083
```

Properties
formation energy from the elements: -0.15 eV/atom
energy: -46.70 eV per atom
offset from the most stable computed form: 0.003 eV per atom
crystal system: cubic
D(E_F): 1.0 states/eV/f.u.
M_tot: 0.00 Bohr magnetons per cell


Record 19
This record from the Alexandria database describes a crystal of MgSe relaxed with PBEsol. The functional is SCAN.

The structure in POSCAR format:
```
MgSe
1.0
4.2264 0.0000 0.0000
-2.1132 3.6602 0.0000
0.0000 0.0000 6.7772
Mg Se
2 2
Cartesian
0.0000 2.4401 0.0000
2.1132 1.2201 3.3886
0.0000 2.4401 4.1980
2.1132 1.2201 0.8094
```

Properties
energy: -13.98 eV per atom
crystal system: hexagonal
D(E_F): 0.0 states/eV/f.u.
M_tot: 0.00 Bohr magnetons per cell
formation energy from raw total energies: -1.451 eV per atom


Record 20
This record from the Alexandria database describes a crystal of BeHO2F relaxed with PBEsol. The functional is SCAN.

The structure in POSCAR format:
```
BeHO2F
1.0
2.8647 0.0000 0.0000
0.0000 2.8647 0.0000
0.0000 0.0000 4.0801
Be H O F
1 1 2 1
Cartesian
0.0000 0.0000 0.0000
1.4323 1.4323 2.0400
0.0000 1.4323 2.0400
1.4323 0.0000 2.0400
1.4323 1.4323 0.0000
```

Properties
energy: -4.92 eV per atom
crystal system: tetragonal
D(E_F): 1.1 states/eV/f.u.
M_tot: 0.03 Bohr magnetons per cell